# NiHgSe PBE relaxed
# uncorrected formation energy = 0.109 eV/atom
# Fermi-level density of states = 0.680 states/eV per atom
# crystal system = cubic
# energy above the lowest structure with this stoichiometry = 24.0 kJ/mol of atoms
data_NiHgSe
_cell_length_a 4.3546
_cell_length_b 4.3546
_cell_length_c 4.3546
_cell_angle_alpha 60.00
_cell_angle_beta 60.00
_cell_angle_gamma 60.00
_symmetry_space_group_name_H-M 'P 1'
_symmetry_Int_Tables_number 1
loop_
_symmetry_equiv_pos_as_xyz
'x,y,z'
loop_
_atom_site_label
_atom_site_type_symbol
_atom_site_fract_x
_atom_site_fract_y
_atom_site_fract_z
_atom_site_occupancy
Ni1 Ni 0.0000 0.0000 0.0000 1
Hg1 Hg 0.7500 0.7500 0.7500 1
Se1 Se 0.2500 0.2500 0.2500 1